## Pr2DyMg3Tl2In (PBE-GGA)

Data for a geometry-optimized Pr2DyMg3Tl2In structure.

Output
* theoretical density: 7.1 Mg/m³
* final energy: -59.16 eV per cell

Cell and atoms, written as CIF:
```
data_Pr2DyMg3Tl2In
_chemical_formula_sum 'Pr4 Dy2 Mg6 Tl4 In2'
_symmetry_space_group_name_H-M 'A m m 2'
_symmetry_Int_Tables_number 38
_cell_length_a 4.754
_cell_length_b 13.174
_cell_length_c 7.744
_cell_angle_alpha 90.00
_cell_angle_beta 90.00
_cell_angle_gamma 90.00
loop_
_symmetry_equiv_pos_as_xyz
'x,y,z'
'-x,-y,z'
'-x,y,z'
'x,-y,z'
'x,y+1/2,z+1/2'
'-x,-y+1/2,z+1/2'
'-x,y+1/2,z+1/2'
'x,-y+1/2,z+1/2'
loop_
_atom_site_label
_atom_site_type_symbol
_atom_site_fract_x
_atom_site_fract_y
_atom_site_fract_z
_atom_site_occupancy
Pr1 Pr 0.000 0.215 0.000 1
Dy1 Dy 0.000 0.000 0.355 1
Mg1 Mg 0.500 0.000 0.021 1
Mg2 Mg 0.500 0.121 0.663 1
Tl1 Tl 0.500 0.161 0.285 1
In1 In 0.000 0.000 0.773 1
```